(1)
## NiAgRu (meta-GGA SCAN)

Data for NiAgRu at its PBEsol-relaxed geometry.

Computed properties:
As for the distance to the lowest polymorph of the same formula: 0.000 eV per atom. Its space-group type is No. 156.

a b c (Å): 2.5512 4.2977 4.2977
angles (deg): 120.00 90.00 90.00
Each line ends with the local moment (μB).
Atoms (fractional coordinates):
Ag 0.8943 0.0000 0.0000  0.01
Ni 0.7548 0.3333 0.6667  0.84
Ru 0.3509 0.6667 0.3333  1.50

=====

(2)
## Ni2AgRu (meta-GGA SCAN)

Data for Ni2AgRu at its PBEsol-relaxed geometry.

Computed properties:
As for the distance to the lowest polymorph of the same formula: 0.000 eV per atom. Its space-group type is No. 47.

a b c (Å): 2.6268 3.5209 5.5067
angles (deg): 90.00 90.00 90.00
Atoms (fractional coordinates):
Ag 0.5000 0.5000 0.5000
Ni 0.0000 0.0000 0.7791
Ni 0.0000 0.0000 0.2209
Ru 0.5000 0.5000 0.0000

=====

(3)
## NiAgRu2 (meta-GGA SCAN)

Data for NiAgRu2 at its PBEsol-relaxed geometry.

Computed properties:
Its space-group type is No. 119.

a b c (Å): 3.7551 3.7551 4.6117
angles (deg): 114.02 114.02 90.00
Atoms (fractional coordinates):
Ag 0.5000 0.5000 0.0000
Ni 0.2500 0.7500 0.5000
Ru 0.0000 0.0000 0.0000
Ru 0.7500 0.2500 0.5000

=====

(4)
## NiAg2Sb (meta-GGA SCAN)

Data for NiAg2Sb at its PBEsol-relaxed geometry.

Computed properties:
Its space-group type is No. 139.

a b c (Å): 3.8717 3.8717 5.1746
angles (deg): 111.97 111.97 90.00
Atoms (fractional coordinates):
Ag 0.7500 0.2500 0.5000
Ag 0.2500 0.7500 0.5000
Ni 0.5000 0.5000 0.0000
Sb 0.0000 0.0000 0.0000

=====

(5)
## NiAgSb2 (meta-GGA SCAN)

Data for NiAgSb2 at its PBEsol-relaxed geometry.

Computed properties:
As for the distance to the lowest polymorph of the same formula: 0.167 eV per atom. Its space-group type is No. 119.

a b c (Å): 4.0350 4.0350 5.5233
angles (deg): 111.42 111.42 90.00
Atoms (fractional coordinates):
Ag 0.5000 0.5000 0.0000
Ni 0.2500 0.7500 0.5000
Sb 0.0000 0.0000 0.0000
Sb 0.7500 0.2500 0.5000

=====

(6)
## NiAgSb2 (meta-GGA SCAN)

Data for NiAgSb2 at its PBEsol-relaxed geometry.

Computed properties:
As for the distance to the lowest polymorph of the same formula: 0.144 eV per atom. Its space-group type is No. 65.

a b c (Å): 3.2863 4.8597 4.8597
angles (deg): 99.20 90.00 90.00
Atoms (fractional coordinates):
Ag 0.5000 0.5000 0.5000
Ni 0.5000 0.0000 0.0000
Sb 0.0000 0.0000 0.5000
Sb 0.0000 0.5000 0.0000

=====

| no. | DFT total energy (eV/atom) | magnetization (μB/f.u.) |
| --- | --- | --- |
| 1 | -26.90 | 2.2 |
| 2 | -24.32 | 0.0 |
| 3 | -28.82 | 0.0 |
| 4 | -28.89 | 0.0 |
| 5 | -30.17 | 0.0 |
| 6 | -30.20 | 0.0 |